Entry from Alexandria via LeMat-Bulk: a geometry-optimized Hf2Ga4Au structure (GGA-PBE).

a b c (Å): 3.1741 6.0682 7.6447
angles (deg): 112.42 101.98 90.00
With the nearest neighbours (Å) after each atom.
Atoms (fractional coordinates):
Hf 0.7691 0.7954 0.5382  6 Ga 2.81-2.91
Hf 0.2309 0.2046 0.4618  6 Ga 2.81-2.91
Ga 0.9029 0.2775 0.8058  1 Au 2.62, 2 Ga 2.73, 3 Hf 2.83-2.91
Ga 0.0971 0.7225 0.1942  1 Au 2.62, 2 Ga 2.73, 3 Hf 2.83-2.91
Ga 0.6046 0.3633 0.2092  2 Au 2.67, 2 Ga 2.73, 3 Hf 2.81-2.90
Ga 0.3954 0.6367 0.7908  2 Au 2.67, 2 Ga 2.73, 3 Hf 2.81-2.90
Au 0.0000 0.0000 0.0000  6 Ga 2.62-2.67

## Properties
* VASP energy: -36.83 eV for the cell shown
* calculated formation energy: -0.220 eV/atom
* mass density: 10.43 Mg/m³
* space group: C2/m, No. 12